# PBE-GGA CeSn3, relaxed
data_CeSn3
_chemical_formula_sum 'Ce1 Sn3'
_cell_length_a 4.713
_cell_length_b 4.713
_cell_length_c 4.713
_cell_angle_alpha 90.00
_cell_angle_beta 90.00
_cell_angle_gamma 90.00
_space_group_name_H-M_alt 'P m -3 m'
_space_group_IT_number 221
_space_group_name_Hall '-P 4 2 3'
loop_
_atom_site_label
_atom_site_type_symbol
_atom_site_fract_x
_atom_site_fract_y
_atom_site_fract_z
Ce1 Ce 0.000 0.000 0.000
Sn1 Sn 0.000 0.500 0.500
# Magnetization = 0.15 Bohr magnetons per cell
# Energy of formation = -2.16 eV per formula unit